Density functional theory data (PBE-GGA) for a geometry-optimized SmEr2Ge2 structure.

abc: 4.4966 5.6766 11.1205
angles: 109.58 90.00 90.00
Closest atoms and distances in Å follow each position.
Positions (direct):
Sm (0.2500, 0.7998, 0.2180)  5 Ge 3.03-3.18
Sm (0.7500, 0.2002, 0.7820)  5 Ge 3.03-3.18
Er (0.2500, 0.7656, 0.8750)  5 Ge 2.87-3.18
Er (0.7500, 0.2344, 0.1250)  5 Ge 2.87-3.18
Er (0.2500, 0.2922, 0.5448)  4 Ge 2.86-2.99
Er (0.7500, 0.7078, 0.4552)  4 Ge 2.86-2.99
Ge (0.2500, 0.8500, 0.6233)  5 Er 2.86-2.99, 2 Sm 3.13
Ge (0.7500, 0.1500, 0.3767)  5 Er 2.86-2.99, 2 Sm 3.13
Ge (0.2500, 0.3028, 0.9752)  4 Er 2.87-3.18, 3 Sm 3.03-3.18, 2 Ge 3.09
Ge (0.7500, 0.6972, 0.0248)  4 Er 2.87-3.18, 3 Sm 3.03-3.18, 2 Ge 3.09

Calculated values
- Space group: No. 11
- Crystal system: monoclinic
- Energy relative to the elements: -0.59 eV/atom

=====

Density functional theory data (PBE-GGA) for a geometry-optimized ScAlSb2 structure.

abc: 3.2360 3.2360 9.4623
angles: 90.00 90.00 101.65
Closest atoms and distances in Å follow each position.
Positions (direct):
Sc (0.0000, 0.0000, 0.5244)  2 Al 2.85, 2 Sb 3.01
Sb (0.0000, 0.0000, 0.9497)  4 Al 2.89-3.23
Sb (0.5000, 0.5000, 0.2915)  4 Sc 3.01-3.34, 4 Sb 3.24
Al (0.5000, 0.5000, 0.7343)  2 Sc 2.85, 2 Sb 2.89

Calculated values
- Space group: No. 35
- Crystal system: orthorhombic
- Polymorph energy (0 for the lowest one): 0.2449 eV per atom

=====

Density functional theory data (PBE-GGA) for a geometry-optimized GaCoCu structure.

abc: 2.6024 4.0628 4.0628
angles: 120.00 90.00 90.00
Closest atoms and distances in Å follow each position.
Positions (direct):
Co (0.6890, 0.3333, 0.6667)  3 Ga 2.53, 6 Cu 2.60-2.77, 2 Co 2.60
Cu (0.2575, 0.6667, 0.3333)  3 Ga 2.41, 3 Co 2.60, 2 Cu 2.60
Ga (0.0534, 0.0000, 0.0000)  3 Cu 2.41, 3 Co 2.53, 2 Ga 2.60

Calculated values
- Space group: No. 156
- Crystal system: trigonal
- Energy relative to the elements: -0.02 eV/atom
- Polymorph energy (0 for the lowest one): 0.0000 eV per atom

=====

Density functional theory data (PBE-GGA) for a geometry-optimized Ac2MgVN4 structure.

abc: 4.8146 6.1257 9.9705
angles: 84.56 76.03 66.86
Closest atoms and distances in Å follow each position.
Positions (direct):
Ac (0.1773, 0.0000, 0.6454)  8 N 2.84-3.07
Ac (0.8227, 0.0000, 0.3546)  8 N 2.84-3.07
Ac (0.5727, 0.5000, 0.8546)  8 N 2.84-3.07
Ac (0.9273, 0.5000, 0.1454)  8 N 2.84-3.07
Mg (0.7500, 0.5000, 0.5000)  4 N 2.00
Mg (0.0000, 0.0000, 0.0000)  4 N 2.00
V (0.2500, 0.5000, 0.5000)  4 N 1.87
V (0.5000, 0.0000, 0.0000)  4 N 1.87
N (0.3312, 0.7869, 0.0954)  1 V 1.87, 1 Mg 2.00
N (0.2135, 0.2131, 0.9046)  1 V 1.87, 1 Mg 2.00
N (0.8819, 0.7869, 0.9046)  1 V 1.87, 1 Mg 2.00
N (0.5734, 0.2131, 0.0954)  1 V 1.87, 1 Mg 2.00
N (0.4188, 0.7131, 0.4046)  1 V 1.87, 1 Mg 2.00
N (0.5365, 0.2869, 0.5954)  1 V 1.87, 1 Mg 2.00
N (0.8681, 0.7131, 0.5954)  1 V 1.87, 1 Mg 2.00
N (0.1766, 0.2869, 0.4046)  1 V 1.87, 1 Mg 2.00

Calculated values
- Space group: No. 70
- Calculated total energy: -7.245 eV/atom
- Crystal system: orthorhombic

=====

Density functional theory data (PBE-GGA) for a geometry-optimized Ho6Si2HgSe3 structure.

abc: 4.0868 8.3649 9.3391
angles: 107.00 102.64 90.00
Closest atoms and distances in Å follow each position.
Positions (direct):
Ho (0.3288, 0.9096, 0.6576)  3 Se 2.82-2.99, 2 Si 2.86, 1 Hg 2.98
Ho (0.6720, 0.5681, 0.3440)  3 Si 2.87-2.88, 3 Se 3.00-3.01
Ho (0.6712, 0.0904, 0.3424)  3 Se 2.82-2.99, 2 Si 2.86, 1 Hg 2.98
Ho (0.9996, 0.2632, 0.9992)  3 Se 2.84-2.90, 1 Si 2.86, 2 Hg 3.01
Ho (0.0004, 0.7368, 0.0008)  3 Se 2.84-2.90, 1 Si 2.86, 2 Hg 3.01
Ho (0.3280, 0.4319, 0.6560)  3 Si 2.87-2.88, 3 Se 3.00-3.01
Si (0.8376, 0.6774, 0.6751)  6 Ho 2.86-2.88
Si (0.1624, 0.3226, 0.3249)  6 Ho 2.86-2.88
Hg (0.5000, 0.0000, 0.0000)  6 Ho 2.98-3.01
Se (0.5000, 0.5000, 0.0000)  6 Ho 2.84-3.01
Se (0.8331, 0.1729, 0.6662)  6 Ho 2.82-3.00
Se (0.1669, 0.8271, 0.3338)  6 Ho 2.82-3.00

Calculated values
- Space group: No. 12
- Calculated total energy: -5.293 eV/atom
- Crystal system: monoclinic

=====

Density functional theory data (PBE-GGA) for a geometry-optimized Ac8La2Pm3 structure.

abc: 6.1961 8.3715 11.5426
angles: 111.26 89.98 90.00
Closest atoms and distances in Å follow each position.
Positions (direct):
Ac (0.9995, 0.6715, 0.3429)  2 La 3.61, 4 Ac 3.85
Ac (0.0005, 0.3285, 0.6571)  2 La 3.61, 4 Ac 3.85
Ac (0.0000, 0.1314, 0.2628)  2 Pm 3.72, 2 La 3.90-3.91, 4 Ac 3.98-3.99
Ac (0.0000, 0.8686, 0.7372)  2 Pm 3.72, 2 La 3.90-3.91, 4 Ac 3.98-3.99
Ac (0.5003, 0.6062, 0.7938)  1 Pm 3.29, 1 Ac 3.50
Ac (0.5003, 0.1876, 0.7938)  1 Pm 3.29, 1 Ac 3.50
Ac (0.4997, 0.8124, 0.2062)  1 Pm 3.29, 1 Ac 3.50
Ac (0.4997, 0.3938, 0.2062)  1 Pm 3.29, 1 Ac 3.50
La (0.5006, 0.2421, 0.4842)  8 Ac 3.61-3.91
La (0.4994, 0.7579, 0.5158)  8 Ac 3.61-3.91
Pm (0.5000, 0.0000, 0.0000)  4 Ac 3.29
Pm (0.0000, 0.2897, 0.0000)  3 Pm 3.52-3.93, 6 Ac 3.72-3.81
Pm (0.0000, 0.7103, 0.0000)  3 Pm 3.52-3.93, 6 Ac 3.72-3.81

Calculated values
- Space group: No. 12
- Crystal system: monoclinic
- Energy relative to the elements: 0.20 eV/atom
- Polymorph energy (0 for the lowest one): 0.0000 eV per atom

=====

Density functional theory data (PBE-GGA) for a geometry-optimized HgAsO2F structure.

abc: 4.2480 4.2480 4.3792
angles: 90.00 90.00 90.00
Closest atoms and distances in Å follow each position.
Positions (direct):
As (0.5000, 0.5000, 0.5000)  4 F 3.00, 8 O 3.05
Hg (0.0000, 0.0000, 0.0000)  4 O 2.12, 2 F 2.19
O (0.0000, 0.5000, 0.0000)  2 Hg 2.12
O (0.5000, 0.0000, 0.0000)  2 Hg 2.12
F (0.0000, 0.0000, 0.5000)  2 Hg 2.19

Calculated values
- Space group: No. 123
- Calculated total energy: -3.069 eV/atom
- Crystal system: tetragonal

=====

Density functional theory data (PBE-GGA) for a geometry-optimized Hf3MoPt structure.

abc: 4.9901 4.9901 4.9901
angles: 90.00 90.00 90.00
Closest atoms and distances in Å follow each position.
Positions (direct):
Mo (0.5000, 0.5000, 0.5000)  12 Hf 3.53
Hf (0.0000, 0.5000, 0.0000)  2 Pt 2.50
Hf (0.0000, 0.0000, 0.5000)  2 Pt 2.50
Hf (0.5000, 0.0000, 0.0000)  2 Pt 2.50
Pt (0.0000, 0.0000, 0.0000)  6 Hf 2.50

Calculated values
- Space group: No. 221
- Crystal system: cubic
- Energy relative to the elements: 0.73 eV/atom
- Polymorph energy (0 for the lowest one): 0.0000 eV per atom

=====

Q: Which formula does entry 3 have?
A: GaCoCu

=====

Copy entry 1 word for word.
Density functional theory data (PBE-GGA) for a geometry-optimized SmEr2Ge2 structure.

abc: 4.4966 5.6766 11.1205
angles: 109.58 90.00 90.00
Closest atoms and distances in Å follow each position.
Positions (direct):
Sm (0.2500, 0.7998, 0.2180)  5 Ge 3.03-3.18
Sm (0.7500, 0.2002, 0.7820)  5 Ge 3.03-3.18
Er (0.2500, 0.7656, 0.8750)  5 Ge 2.87-3.18
Er (0.7500, 0.2344, 0.1250)  5 Ge 2.87-3.18
Er (0.2500, 0.2922, 0.5448)  4 Ge 2.86-2.99
Er (0.7500, 0.7078, 0.4552)  4 Ge 2.86-2.99
Ge (0.2500, 0.8500, 0.6233)  5 Er 2.86-2.99, 2 Sm 3.13
Ge (0.7500, 0.1500, 0.3767)  5 Er 2.86-2.99, 2 Sm 3.13
Ge (0.2500, 0.3028, 0.9752)  4 Er 2.87-3.18, 3 Sm 3.03-3.18, 2 Ge 3.09
Ge (0.7500, 0.6972, 0.0248)  4 Er 2.87-3.18, 3 Sm 3.03-3.18, 2 Ge 3.09

Calculated values
- Space group: No. 11
- Crystal system: monoclinic
- Energy relative to the elements: -0.59 eV/atom